No. 1
Sm2ZnGa: single point on PBEsol structure, meta-GGA SCAN.

## Properties
Calculated formation energy = -540 meV/atom
Total DFT energy (no corrections) = -30.226 eV per atom
DOS(E_F) = 14.79 states/eV/cell

```
data_Sm2ZnGa
_cell_length_a 7.1652
_cell_length_b 7.1652
_cell_length_c 7.1652
_cell_angle_alpha 90.00
_cell_angle_beta 90.00
_cell_angle_gamma 90.00
_space_group_name_H-M_alt 'F m -3 m'
_space_group_IT_number 225
_space_group_name_Hall '-F 4 2 3'
loop_
_atom_site_label
_atom_site_type_symbol
_atom_site_fract_x
_atom_site_fract_y
_atom_site_fract_z
Sm1 Sm 0.2500 0.2500 0.2500
Zn1 Zn 0.0000 0.0000 0.0000
Ga1 Ga 0.0000 0.0000 0.5000
```



No. 2
K4CrIr: single point on PBEsol structure, meta-GGA SCAN.

## Properties
Calculated formation energy = 1168 meV/atom
Total DFT energy (no corrections) = -19.299 eV per atom
DOS(E_F) = 11.79 states/eV/cell

```
data_K4CrIr
_cell_length_a 8.8945
_cell_length_b 8.8945
_cell_length_c 8.8945
_cell_angle_alpha 90.00
_cell_angle_beta 90.00
_cell_angle_gamma 90.00
_space_group_name_H-M_alt 'F -4 3 m'
_space_group_IT_number 216
_space_group_name_Hall 'F -4 2 3'
loop_
_atom_site_label
_atom_site_type_symbol
_atom_site_fract_x
_atom_site_fract_y
_atom_site_fract_z
K1 K 0.1237 0.1237 0.1237
Cr1 Cr 0.0000 0.0000 0.5000
Ir1 Ir 0.2500 0.2500 0.7500
```



No. 3
SbTeW: single point on PBEsol structure, meta-GGA SCAN.

## Properties
Total DFT energy (no corrections) = -47.354 eV per atom
DOS(E_F) = 10.09 states/eV/cell
Energy relative to the elements, uncorrected = 0.713 eV per atom

```
data_SbTeW
_cell_length_a 3.4690
_cell_length_b 5.2091
_cell_length_c 15.0143
_cell_angle_alpha 90.00
_cell_angle_beta 90.00
_cell_angle_gamma 90.00
_space_group_name_H-M_alt 'F m m 2'
_space_group_IT_number 42
_space_group_name_Hall 'F 2 -2'
loop_
_atom_site_label
_atom_site_type_symbol
_atom_site_fract_x
_atom_site_fract_y
_atom_site_fract_z
Sb1 Sb 0.0000 0.0000 0.0000
Te1 Te 0.0000 0.0000 0.7176
W1 W 0.0000 0.0000 0.3580
```



No. 4
KAs5: single point on PBEsol structure, meta-GGA SCAN.

## Properties
Calculated formation energy = -8 meV/atom
Total DFT energy (no corrections) = -18.222 eV per atom
DOS(E_F) = 3.75 states/eV/cell

```
data_KAs5
_cell_length_a 3.5651
_cell_length_b 4.4906
_cell_length_c 18.4238
_cell_angle_alpha 90.00
_cell_angle_beta 90.00
_cell_angle_gamma 90.00
_space_group_name_H-M_alt 'A m m 2'
_space_group_IT_number 38
_space_group_name_Hall 'A 2 -2'
loop_
_atom_site_label
_atom_site_type_symbol
_atom_site_fract_x
_atom_site_fract_y
_atom_site_fract_z
K1 K 0.0000 0.0000 0.0000
As1 As 0.0000 0.0000 0.3243
As2 As 0.0000 0.0000 0.6417
As3 As 0.5000 0.0000 0.1621
As4 As 0.5000 0.0000 0.4107
As5 As 0.5000 0.0000 0.7413
```



No. 5
CaP2H5NO7: single point on PBEsol structure, meta-GGA SCAN.

## Properties
Total DFT energy (no corrections) = -8.218 eV per atom
DOS(E_F) = 0.00 states/eV/cell

```
data_CaP2H5NO7
_cell_length_a 7.2436
_cell_length_b 17.5774
_cell_length_c 12.6547
_cell_angle_alpha 90.00
_cell_angle_beta 123.75
_cell_angle_gamma 90.00
_space_group_name_H-M_alt 'P 1 21/c 1'
_space_group_IT_number 14
_space_group_name_Hall '-P 2ybc'
loop_
_atom_site_label
_atom_site_type_symbol
_atom_site_fract_x
_atom_site_fract_y
_atom_site_fract_z
Ca1 Ca 0.1465 0.2219 0.1577
Ca2 Ca 0.2756 0.7446 0.7658
P1 P 0.0115 0.0818 0.2996
P2 P 0.2663 0.1618 0.9338
P3 P 0.3066 0.1040 0.5842
P4 P 0.3474 0.7084 0.5605
H1 H 0.1264 0.6214 0.9702
H2 H 0.1328 0.0488 0.8375
H3 H 0.1817 0.0163 0.6869
H4 H 0.1838 0.0234 0.1622
H5 H 0.2033 0.5663 0.6076
H6 H 0.2566 0.0167 0.0568
H7 H 0.3101 0.5511 0.0592
H8 H 0.3441 0.6043 0.9543
H9 H 0.3853 0.6446 0.0870
H10 H 0.4328 0.5153 0.7107
N1 N 0.2668 0.5108 0.6328
N2 N 0.2925 0.6039 0.0166
O1 O 0.0744 0.0035 0.7244
O2 O 0.0960 0.0985 0.2160
O3 O 0.1085 0.2110 0.8202
O4 O 0.1408 0.1583 0.5802
O5 O 0.1560 0.6343 0.2056
O6 O 0.1742 0.6686 0.5738
O7 O 0.1766 0.0779 0.9201
O8 O 0.2308 0.0784 0.4426
O9 O 0.2353 0.7456 0.4302
O10 O 0.3106 0.0273 0.6479
O11 O 0.3451 0.1906 0.0648
O12 O 0.4590 0.6325 0.8583
O13 O 0.4822 0.1446 0.9283
O14 O 0.4831 0.7350 0.1704
```



No. 6
TaMoW: single point on PBEsol structure, meta-GGA SCAN.

## Properties
Calculated formation energy = -111 meV/atom
Total DFT energy (no corrections) = -57.163 eV per atom
DOS(E_F) = 1.35 states/eV/cell

```
data_TaMoW
_cell_length_a 4.4868
_cell_length_b 4.4868
_cell_length_c 2.7650
_cell_angle_alpha 90.00
_cell_angle_beta 90.00
_cell_angle_gamma 120.00
_space_group_name_H-M_alt 'P 3 m 1'
_space_group_IT_number 156
_space_group_name_Hall 'P 3 -2"'
loop_
_atom_site_label
_atom_site_type_symbol
_atom_site_fract_x
_atom_site_fract_y
_atom_site_fract_z
Ta1 Ta 0.0000 0.0000 0.0000
Mo1 Mo 0.6667 0.3333 0.3312
W1 W 0.3333 0.6667 0.6498
```



No. 7
RbNbGaIr2: single point on PBEsol structure, meta-GGA SCAN.

## Properties
Calculated formation energy = 1213 meV/atom
Total DFT energy (no corrections) = -41.270 eV per atom
DOS(E_F) = 3.87 states/eV/cell

```
data_RbNbGaIr2
_cell_length_a 4.6767
_cell_length_b 4.6767
_cell_length_c 4.9435
_cell_angle_alpha 90.00
_cell_angle_beta 90.00
_cell_angle_gamma 90.00
_space_group_name_H-M_alt 'P 4/m m m'
_space_group_IT_number 123
_space_group_name_Hall '-P 4 2'
loop_
_atom_site_label
_atom_site_type_symbol
_atom_site_fract_x
_atom_site_fract_y
_atom_site_fract_z
Rb1 Rb 0.0000 0.0000 0.0000
Nb1 Nb 0.5000 0.5000 0.0000
Ga1 Ga 0.5000 0.5000 0.5000
Ir1 Ir 0.0000 0.5000 0.5000
```



No. 8
Cr4Cu3P6O24: single point on PBEsol structure, meta-GGA SCAN.

## Properties
Total DFT energy (no corrections) = -11.200 eV per atom
DOS(E_F) = 1.85 states/eV/cell
Energy relative to the elements, uncorrected = -2.252 eV per atom

```
data_Cr4Cu3P6O24
_cell_length_a 6.2170
_cell_length_b 7.8514
_cell_length_c 9.2550
_cell_angle_alpha 107.12
_cell_angle_beta 107.45
_cell_angle_gamma 100.93
_space_group_name_H-M_alt 'P -1'
_space_group_IT_number 2
_space_group_name_Hall '-P 1'
loop_
_atom_site_label
_atom_site_type_symbol
_atom_site_fract_x
_atom_site_fract_y
_atom_site_fract_z
Cr1 Cr 0.0475 0.2100 0.0222
Cr2 Cr 0.3790 0.9603 0.6088
Cu1 Cu 0.0000 0.5000 0.5000
Cu2 Cu 0.2931 0.3235 0.8061
P1 P 0.0995 0.1053 0.3378
P2 P 0.2234 0.6485 0.2615
P3 P 0.3962 0.7382 0.8650
O1 O 0.0074 0.6863 0.1493
O2 O 0.0783 0.0505 0.1544
O3 O 0.1163 0.0244 0.6561
O4 O 0.1323 0.3083 0.4183
O5 O 0.2037 0.4433 0.1980
O6 O 0.2237 0.7090 0.4375
O7 O 0.2471 0.7951 0.9647
O8 O 0.2773 0.5344 0.7390
O9 O 0.3200 0.0474 0.4219
O10 O 0.3590 0.2372 0.0049
O11 O 0.4409 0.8665 0.7741
O12 O 0.4565 0.7646 0.2598
```